Record 1
LiEr2MgHg4: relaxed, GGA-PBE.

The space group is R-3m (No. 166, hexagonal axes) and the conventional cell measures 5.0145, 5.0145 and 24.5814 Å, with angles of 90.00, 90.00 and 120.00 degrees. The asymmetric unit holds Li at (0.0000, 0.0000, 0.0000), Er at (0.0000, 0.0000, 0.2493), Mg at (0.0000, 0.0000, 0.5000), Hg at (0.0000, 0.0000, 0.1222) and Hg at (0.0000, 0.0000, 0.3731).

Its formation energy is -0.445 eV per atom.

Record 2
CuRe2SF: relaxed, GGA-PBE.

The space group is P4/mmm (No. 123) and the conventional cell measures 4.001, 4.001 and 4.783 Å, with angles of 90.00, 90.00 and 90.00 degrees. The asymmetric unit holds Cu at (0.000, 0.000, 0.000), Re at (0.000, 0.500, 0.500), S at (0.500, 0.500, 0.000) and F at (0.500, 0.500, 0.500).

The calculation puts the uncorrected formation energy at 1409.9 meV/atom.

| no. | magnetic moment (μB per formula unit) | Fermi-level density of states (states/eV/f.u.) |
| --- | --- | --- |
| 1 | 0.00 | 3.44 |
| 2 | 0.00 | 5.77 |